No. 1
Material: K2Ba2Pb
Method: DFT, PBE-GGA
State: relaxed

Geometry as POSCAR:
```
K2Ba2Pb
1.0
5.312 0.000 0.000
0.000 5.312 0.000
2.656 2.656 10.129
Pb K Ba
1 2 2
direct
0.000 0.000 0.000
0.419 0.419 0.163
0.581 0.581 0.837
0.750 0.250 0.500
0.250 0.750 0.500
```

Output
Calculated formation energy = 0.349 eV/atom
ΔE to the lowest computed polymorph = 366.1 meV per atom
Symmetry = I4/mmm

---

No. 2
Material: SnB2HC
Method: DFT, PBE-GGA
State: relaxed

Geometry as POSCAR:
```
SnB2HC
1.0
3.098 0.000 0.000
0.000 5.562 0.000
0.000 0.000 3.098
H C B Sn
1 1 2 1
direct
0.000 0.000 0.000
0.500 0.500 0.500
0.000 0.000 0.500
0.500 0.000 0.000
0.000 0.500 0.000
```

Output
Symmetry = P4/mmm
VASP energy = -4.185 eV per atom

---

No. 3
Material: Sr2InSbOs
Method: DFT, PBE-GGA
State: relaxed

Geometry as POSCAR:
```
Sr2InSbOs
1.0
-0.119 -3.042 -5.415
-1.680 -4.369 2.491
-5.891 1.771 -0.865
Sb Os Sr In
1 1 2 1
direct
0.000 0.500 0.000
0.500 0.500 0.500
0.000 0.000 0.500
0.500 0.000 0.000
0.000 0.000 0.000
```

Output
Formation energy from raw total energies = 1.146 eV per atom
Symmetry = P4/mmm

---

No. 4
Material: ZrFeAu2
Method: DFT, PBE-GGA
State: relaxed

Geometry as POSCAR:
```
ZrFeAu2
1.0
3.410 0.000 0.000
0.000 3.410 0.000
0.000 0.000 6.078
Au Fe Zr
2 1 1
direct
0.000 0.000 0.005
0.500 0.500 0.270
0.000 0.000 0.486
0.500 0.500 0.739
```

Output
Calculated formation energy = -0.193 eV/atom
Symmetry = P4mm

---

No. 5
Material: NdTlCuPd
Method: DFT, PBE-GGA
State: relaxed

Geometry as POSCAR:
```
NdTlCuPd
1.0
-2.593 3.570 -2.160
-4.843 0.322 0.759
-1.825 3.683 2.691
Tl Nd Cu Pd
1 1 1 1
direct
0.500 0.500 0.500
0.000 0.000 0.000
0.250 0.250 0.250
0.750 0.750 0.750
```

Output
Calculated formation energy = -0.343 eV/atom
Symmetry = F-43m

---

No. 6
Material: Sm11Sn10
Method: DFT, PBE-GGA
State: relaxed

Geometry as POSCAR:
```
Sm11Sn10
1.0
12.111 -0.016 0.000
0.516 12.100 0.000
-6.313 -6.042 8.385
Sm Sn
22 20
direct
0.811 0.062 0.251
0.811 0.559 0.749
0.062 0.811 0.251
0.559 0.811 0.749
0.189 0.938 0.749
0.189 0.441 0.251
0.938 0.189 0.749
0.441 0.189 0.251
0.174 0.174 0.349
0.826 0.826 0.651
0.174 0.826 0.000
0.826 0.174 0.000
0.665 0.665 0.000
0.335 0.335 0.000
0.602 0.932 0.330
0.602 0.272 0.670
0.932 0.602 0.330
0.272 0.602 0.670
0.398 0.068 0.670
0.398 0.728 0.330
0.068 0.398 0.670
0.728 0.398 0.330
0.357 0.000 0.357
0.643 0.000 0.643
0.000 0.643 0.643
0.000 0.357 0.357
0.890 0.890 0.000
0.110 0.110 0.000
0.372 0.372 0.745
0.628 0.628 0.255
0.372 0.628 0.000
0.628 0.372 0.000
0.750 0.250 0.500
0.250 0.750 0.500
0.884 0.884 0.413
0.470 0.470 0.587
0.884 0.470 0.000
0.470 0.884 0.000
0.116 0.116 0.587
0.530 0.530 0.413
0.116 0.530 0.000
0.530 0.116 0.000
```

Output
Calculated formation energy = -0.762 eV/atom
Symmetry = I4/mmm

---

No. 7
Material: Zr4GeN2
Method: DFT, PBE-GGA
State: relaxed

Geometry as POSCAR:
```
Zr4GeN2
1.0
-2.834 -1.272 1.559
4.594 -2.621 2.340
0.669 8.309 7.991
Zr Ge N
8 2 4
direct
0.763 0.526 0.106
0.763 0.526 0.394
0.237 0.474 0.894
0.237 0.474 0.606
0.924 0.849 0.750
0.076 0.151 0.250
0.500 0.000 0.000
0.500 0.000 0.500
0.611 0.222 0.750
0.389 0.778 0.250
0.133 0.266 0.437
0.867 0.734 0.937
0.133 0.266 0.063
0.867 0.734 0.563
```

Output
Formation energy from raw total energies = -1.261 eV per atom
Symmetry = Cmcm

---

No. 8
Material: CdTcOs2S
Method: DFT, PBE-GGA
State: relaxed

Geometry as POSCAR:
```
CdTcOs2S
1.0
-1.049 4.485 0.675
-4.680 -1.369 1.826
1.751 -0.239 4.307
S Os Tc Cd
1 2 1 1
direct
0.500 0.500 0.500
0.000 0.000 0.500
0.500 0.000 0.000
0.000 0.000 0.000
0.000 0.500 0.000
```

Output
Formation energy from raw total energies = 1.971 eV per atom
Symmetry = P4/mmm

---

No. 9
Material: MgCo2Tc
Method: DFT, PBE-GGA
State: relaxed

Geometry as POSCAR:
```
MgCo2Tc
1.0
-4.274 0.995 -1.663
-3.259 -3.192 1.100
3.231 2.385 2.428
Co Mg Tc
2 1 1
direct
0.000 0.000 0.000
0.250 0.750 0.500
0.500 0.500 0.000
0.750 0.250 0.500
```

Output
Calculated formation energy = 0.263 eV/atom
Symmetry = I-4m2

---

No. 10
Material: Pm4BiSb3
Method: DFT, PBE-GGA
State: relaxed

Geometry as POSCAR:
```
Pm4BiSb3
1.0
6.379 0.000 0.000
0.000 6.379 0.000
0.000 0.000 6.379
Pm Bi Sb
4 1 3
direct
0.500 0.000 0.000
0.000 0.500 0.000
0.000 0.000 0.500
0.500 0.500 0.500
0.000 0.000 0.000
0.000 0.500 0.500
0.500 0.000 0.500
0.500 0.500 0.000
```

Output
Formation energy from raw total energies = -1.129 eV per atom
Symmetry = Pm-3m

---

No. 11
Material: RbIn5
Method: DFT, PBE-GGA
State: relaxed

Geometry as POSCAR:
```
RbIn5
1.0
-2.682 -2.596 3.628
-1.623 -3.058 -3.387
6.555 -2.796 2.846
Rb In
1 5
direct
0.000 0.000 0.000
0.000 0.683 0.365
0.000 0.317 0.635
0.500 0.500 0.000
0.500 0.172 0.344
0.500 0.828 0.656
```

Output
Calculated formation energy = 0.020 eV/atom
ΔE to the lowest computed polymorph = 40.8 meV per atom
Symmetry = Cmmm

---

No. 12
Material: PrGd2Hg
Method: DFT, PBE-GGA
State: relaxed

Geometry as POSCAR:
```
PrGd2Hg
1.0
-2.279 1.696 2.169
-3.418 -1.033 0.160
0.847 -7.487 9.687
Pr Gd Hg
1 2 1
direct
0.500 0.500 0.500
0.087 0.087 0.740
0.913 0.913 0.260
0.000 0.000 0.000
```

Output
Calculated formation energy = 0.106 eV/atom
ΔE to the lowest computed polymorph = 350.7 meV per atom
Symmetry = R-3m

---

No. 13
Material: HoZrPa
Method: DFT, PBE-GGA
State: relaxed

Geometry as POSCAR:
```
HoZrPa
1.0
5.322 0.000 0.000
2.661 4.609 0.000
2.661 1.536 6.784
Zr Pa Ho
2 2 2
direct
0.574 0.574 0.278
0.426 0.426 0.722
0.299 0.299 0.104
0.701 0.701 0.896
0.878 0.878 0.366
0.122 0.122 0.634
```

Output
Calculated formation energy = 0.433 eV/atom
ΔE to the lowest computed polymorph = 277.2 meV per atom
Symmetry = R-3m

---

No. 14
Material: AlAg3Hg
Method: DFT, PBE-GGA
State: relaxed

Geometry as POSCAR:
```
AlAg3Hg
1.0
-3.826 -0.090 -3.117
-0.715 -4.777 1.014
-3.035 1.238 3.690
Hg Ag Al
1 3 1
direct
0.500 0.500 0.500
0.000 0.500 0.000
0.000 0.000 0.500
0.500 0.000 0.000
0.000 0.000 0.000
```

Output
Calculated formation energy = 0.448 eV/atom
ΔE to the lowest computed polymorph = 0.0 meV per atom
Symmetry = Pm-3m

---

No. 15
Material: PaGaFeOs
Method: DFT, PBE-GGA
State: relaxed

Geometry as POSCAR:
```
PaGaFeOs
1.0
-0.803 -1.171 -4.336
3.372 0.162 -3.069
1.745 -3.867 -1.679
Pa Os Fe Ga
1 1 1 1
direct
0.750 0.750 0.750
0.000 0.000 0.000
0.500 0.500 0.500
0.250 0.250 0.250
```

Output
Calculated formation energy = -0.124 eV/atom
Symmetry = F-43m

---

No. 16
Material: NdTh2N3
Method: DFT, PBE-GGA
State: relaxed

Geometry as POSCAR:
```
NdTh2N3
1.0
6.231 0.031 -1.154
-2.382 5.758 -1.154
-0.008 -0.012 11.578
Nd Th N
4 8 12
direct
0.917 0.917 0.834
0.333 0.833 0.666
0.167 0.667 0.334
0.083 0.083 0.166
0.001 0.501 0.003
0.416 0.416 0.831
0.834 0.334 0.669
0.249 0.249 0.497
0.751 0.751 0.503
0.666 0.166 0.331
0.584 0.584 0.169
0.499 0.999 0.997
0.170 0.657 0.839
0.669 0.182 0.839
0.080 0.093 0.661
0.581 0.568 0.661
0.986 0.486 0.500
0.514 0.014 0.500
0.432 0.419 0.339
0.907 0.920 0.339
0.818 0.331 0.161
0.343 0.830 0.161
0.264 0.264 0.000
0.736 0.736 0.000
```

Output
ΔE to the lowest computed polymorph = 0.0 meV per atom
Formation energy from raw total energies = -1.535 eV per atom
Symmetry = Fddd

---

No. 17
Material: Pu2NpGe
Method: DFT, PBE-GGA
State: relaxed

Geometry as POSCAR:
```
Pu2NpGe
1.0
-1.376 2.131 -4.093
2.775 -0.303 -3.923
-1.413 -2.672 -3.748
Np Ge Pu
1 1 2
direct
0.000 0.000 0.000
0.500 0.500 0.500
0.250 0.250 0.250
0.750 0.750 0.750
```

Output
Calculated formation energy = 0.119 eV/atom
ΔE to the lowest computed polymorph = 214.0 meV per atom
Symmetry = Fm-3m

---

No. 18
Material: NaSm3Se2Cl6
Method: DFT, PBE-GGA
State: relaxed

Geometry as POSCAR:
```
NaSm3Se2Cl6
1.0
-2.177 -3.254 -4.865
-4.877 -4.340 5.085
-2.738 6.804 -3.551
Na Sm Se Cl
1 3 2 6
direct
0.500 0.000 0.000
0.000 0.500 0.000
0.500 0.500 0.500
0.500 0.000 0.500
0.245 0.670 0.340
0.755 0.330 0.660
0.753 0.337 0.166
0.247 0.663 0.834
0.725 0.830 0.661
0.275 0.170 0.339
0.247 0.171 0.834
0.753 0.829 0.166
```

Output
Formation energy from raw total energies = -2.019 eV per atom
Symmetry = C2/m

---

No. 19
Material: Na3Ho2BiS6
Method: DFT, PBE-GGA
State: relaxed

Geometry as POSCAR:
```
Na3Ho2BiS6
1.0
6.944 -0.001 -0.001
-3.471 6.014 -0.001
-1.159 -2.007 6.703
Na Ho Bi S
3 2 1 6
direct
0.163 0.837 0.500
0.837 0.163 0.500
0.500 0.500 0.500
0.333 0.667 0.000
0.667 0.333 0.000
0.000 0.000 0.000
0.924 0.581 0.771
0.734 0.734 0.229
0.076 0.419 0.229
0.581 0.924 0.771
0.266 0.266 0.771
0.419 0.076 0.229
```

Output
Formation energy from raw total energies = -1.485 eV per atom
Symmetry = C2/m

---

No. 20
Material: LiGa5O8
Method: DFT, PBE-GGA
State: relaxed

Geometry as POSCAR:
```
LiGa5O8
1.0
-2.146 -3.206 -4.385
-4.147 -2.204 3.641
-5.097 6.210 -2.046
Li Ga O
2 10 16
direct
0.500 0.500 0.000
0.500 0.000 0.500
0.757 0.000 0.884
0.000 0.000 0.500
0.270 0.750 0.750
0.730 0.250 0.250
0.243 0.000 0.116
0.757 0.500 0.616
0.730 0.750 0.250
0.270 0.250 0.750
0.000 0.500 0.000
0.243 0.500 0.384
0.982 0.000 0.257
0.241 0.738 0.988
0.491 0.500 0.745
0.759 0.238 0.488
0.509 0.500 0.255
0.241 0.762 0.512
0.018 0.000 0.743
0.759 0.262 0.012
0.241 0.238 0.512
0.982 0.500 0.243
0.759 0.738 0.012
0.491 0.000 0.755
0.241 0.262 0.988
0.509 0.000 0.245
0.759 0.762 0.488
0.018 0.500 0.757
```

Output
ΔE to the lowest computed polymorph = 4.4 meV per atom
Formation energy from raw total energies = -1.909 eV per atom
Symmetry = Pmna

---

No. 21
Material: Be2CuAs2
Method: DFT, PBE-GGA
State: relaxed

Geometry as POSCAR:
```
Be2CuAs2
1.0
6.323 0.000 0.000
0.000 6.323 0.000
0.000 0.000 3.344
Be As Cu
4 4 2
direct
0.377 0.877 0.000
0.877 0.623 0.000
0.623 0.123 0.000
0.123 0.377 0.000
0.185 0.685 0.500
0.685 0.815 0.500
0.815 0.315 0.500
0.315 0.185 0.500
0.000 0.000 0.000
0.500 0.500 0.000
```

Output
Calculated formation energy = 0.301 eV/atom
ΔE to the lowest computed polymorph = 0.0 meV per atom
Symmetry = P4/mbm

---

No. 22
Material: CaLaW2Au
Method: DFT, PBE-GGA
State: relaxed

Geometry as POSCAR:
```
CaLaW2Au
1.0
4.744 0.000 0.000
0.000 5.373 0.000
0.000 0.000 4.744
Ca Au W La
1 1 2 1
direct
0.000 0.000 0.000
0.500 0.500 0.500
0.000 0.000 0.500
0.500 0.000 0.000
0.000 0.500 0.000
```

Output
Calculated formation energy = 2.378 eV/atom
Symmetry = P4/mmm